Record 1
{
  "formula": "Nd8DyHo2",
  "functional": "GGA-PBE",
  "state": "relaxed",
  "relative_energy_ev_per_atom": 0.0000,
  "ef_ev_per_atom": 0.16,
  "magmom_total_mub_per_cell": 0.00,
  "cell": [[5.497, 0.143, -0.106], [-0.268, 8.247, -2.309], [0.154, 0.089, 8.567]],
  "species": ["Nd", "Nd", "Nd", "Nd", "Nd", "Nd", "Nd", "Nd", "Dy", "Ho", "Ho"],
  "fractional_positions": [[0.999, 0.969, 0.700], [0.999, 0.700, 0.969], [0.500, 0.666, 0.666], [0.500, 0.253, 0.747], [0.500, 0.747, 0.253], [0.500, 0.334, 0.334], [0.001, 0.300, 0.031], [0.001, 0.031, 0.300], [0.500, 0.000, 0.000], [0.000, 0.619, 0.381], [0.000, 0.381, 0.619]]
}

Record 2
{
  "formula": "CdPPbCl2",
  "functional": "GGA-PBE",
  "state": "relaxed",
  "relative_energy_ev_per_atom": 0.1615,
  "magmom_total_mub_per_cell": 1.80,
  "e_form_raw_ev_per_atom": 0.0605,
  "cell": [[-0.424, 4.649, 2.936], [-3.385, -2.541, 3.535], [4.411, -1.558, 3.104]],
  "species": ["Pb", "P", "Cl", "Cl", "Cd"],
  "fractional_positions": [[0.000, 0.000, 0.000], [0.000, 0.000, 0.500], [0.000, 0.500, 0.000], [0.500, 0.000, 0.000], [0.500, 0.500, 0.500]]
}

Number 1: calculated density 7.0 g/cm³, density of states at the Fermi level 17.65 states/eV/f.u.. Number 2: calculated density 4.1 g/cm³, density of states at the Fermi level 2.79 states/eV/f.u..